# ZrNiP2 (SCAN, single point on PBEsol structure)
# Energy relative to the elements in eV per formula unit: -4.05
# Magnetization in μB/f.u.: 0.00
# SG: No. 129
# Energy in eV/atom: -17.93
data_ZrNiP2
_chemical_formula_sum 'Zr2 Ni2 P4'
_space_group_name_H-M_alt 'P 1'
_space_group_IT_number 1
_cell_length_a 3.5710
_cell_length_b 3.5710
_cell_length_c 8.8451
_cell_angle_alpha 90.00
_cell_angle_beta 90.00
_cell_angle_gamma 90.00
loop_
_space_group_symop_operation_xyz
'x,y,z'
loop_
_atom_site_label
_atom_site_type_symbol
_atom_site_fract_x
_atom_site_fract_y
_atom_site_fract_z
_atom_site_occupancy
Zr1 Zr 0.2500 0.2500 0.2310 1
Zr2 Zr 0.7500 0.7500 0.7690 1
Ni1 Ni 0.2500 0.7500 0.5000 1
Ni2 Ni 0.7500 0.2500 0.5000 1
P1 P 0.2500 0.2500 0.6558 1
P2 P 0.2500 0.7500 0.0000 1
P3 P 0.7500 0.2500 0.0000 1
P4 P 0.7500 0.7500 0.3442 1